Ba2GeBr after structural relaxation. Source: Alexandria via LeMat-Bulk, functional PBE-GGA.

POSCAR file:
```
Ba2GeBr
1.0
0.000 4.131 4.131
4.131 0.000 4.131
4.131 4.131 0.000
Ba Ge Br
2 1 1
direct
0.250 0.250 0.250 Ba
0.750 0.750 0.750 Ba
0.000 0.000 0.000 Ge
0.500 0.500 0.500 Br
```

## Properties
excess energy over the best structure of this formula in the dataset: 154 meV/atom
spin magnetization: 0.250 μB/atom
Fermi-level density of states: 5.2 states/eV per cell
ΔE_f (raw): -3.701 eV/f.u.
mass density: 5.033 Mg/m³
space group: Fm-3m